Here is a relaxed structure of MgTl2Ru from the Alexandria database. Energies are from GGA-PBE.

- size of the total moment (μB/f.u.) = 0.00
- E_form (eV per atom) = 0.2244
- excess energy over the best structure of this formula in the dataset (eV/atom) = 0.000

CIF file:
```
data_MgTl2Ru
_space_group_name_H-M_alt 'P 1 m 1'
_space_group_IT_number 6
_space_group_name_Hall 'P -2y'
_cell_length_a 3.354
_cell_length_b 3.313
_cell_length_c 7.917
_cell_angle_alpha 90.00
_cell_angle_beta 90.82
_cell_angle_gamma 90.00
loop_
_atom_site_label
_atom_site_fract_x
_atom_site_fract_y
_atom_site_fract_z
Mg1 0.000 0.000 0.000
Tl1 0.012 0.000 0.378
Tl2 0.496 0.500 0.716
Ru1 0.506 0.500 0.174
```